1.
A relaxed Ca2Zn2AgAu5 crystal. Source: Alexandria via LeMat-Bulk, functional PBE-GGA.

## Properties
- crystal system = tetragonal
- formation energy (eV per atom) = -0.4297
- symmetry = P4/mbm

Lattice parameters (Å, degrees): 3.791 10.283 10.283 90.00 90.00 90.00
Atoms (fractional coordinates):
Ca1 0.000 0.676 0.176
Ca2 0.000 0.324 0.824
Ca3 0.000 0.176 0.324
Ca4 0.000 0.824 0.676
Zn1 0.000 0.123 0.623
Zn2 0.000 0.877 0.377
Zn3 0.000 0.623 0.877
Zn4 0.000 0.377 0.123
Ag1 0.000 0.000 0.000
Ag2 0.000 0.500 0.500
Au1 0.500 0.202 0.058
Au2 0.500 0.798 0.942
Au3 0.500 0.058 0.798
Au4 0.500 0.702 0.442
Au5 0.500 0.942 0.202
Au6 0.500 0.298 0.558
Au7 0.500 0.558 0.702
Au8 0.500 0.442 0.298
Au9 0.500 0.500 0.000
Au10 0.500 0.000 0.500

=====

2.
A relaxed CaZnAgAu crystal. Source: Alexandria via LeMat-Bulk, functional PBE-GGA.

## Properties
- crystal system = tetragonal
- formation energy (eV per atom) = -0.3445
- symmetry = P4/nmm

Lattice parameters (Å, degrees): 4.095 4.095 10.424 90.00 90.00 90.00
Atoms (fractional coordinates):
Ca1 0.750 0.750 0.264
Ca2 0.250 0.250 0.736
Zn1 0.750 0.250 0.000
Zn2 0.250 0.750 0.000
Ag1 0.250 0.750 0.500
Ag2 0.750 0.250 0.500
Au1 0.750 0.750 0.835
Au2 0.250 0.250 0.165

=====

3.
A relaxed Cd3AgAu5 crystal. Source: Alexandria via LeMat-Bulk, functional PBE-GGA.

## Properties
- crystal system = hexagonal
- formation energy (eV per atom) = -0.1096
- symmetry = P6_3/mcm
- E above lowest polymorph (eV per atom) = 0.0000

Lattice parameters (Å, degrees): 5.810 8.285 8.288 119.99 90.00 90.00
Atoms (fractional coordinates):
Cd1 0.750 0.351 0.351
Cd2 0.750 0.000 0.649
Cd3 0.750 0.649 0.000
Cd4 0.250 0.649 0.649
Cd5 0.250 0.000 0.351
Cd6 0.250 0.351 0.000
Ag1 0.000 0.000 0.000
Ag2 0.500 0.000 0.000
Au1 0.000 0.667 0.333
Au2 0.500 0.333 0.667
Au3 0.000 0.333 0.667
Au4 0.500 0.667 0.333
Au5 0.750 0.686 0.686
Au6 0.750 0.000 0.314
Au7 0.750 0.314 0.000
Au8 0.250 0.314 0.314
Au9 0.250 0.000 0.686
Au10 0.250 0.686 0.000

=====

4.
A relaxed Cd4Ag7Au crystal. Source: Alexandria via LeMat-Bulk, functional PBE-GGA.

## Properties
- crystal system = triclinic
- formation energy (eV per atom) = -0.0458
- symmetry = P-1
- E above lowest polymorph (eV per atom) = 0.0000

Lattice parameters (Å, degrees): 5.861 7.919 7.857 69.29 78.19 41.83
Atoms (fractional coordinates):
Cd1 0.488 0.674 0.327
Cd2 0.512 0.326 0.673
Cd3 0.754 0.825 0.672
Cd4 0.246 0.175 0.328
Ag1 0.749 0.499 0.998
Ag2 0.251 0.501 0.002
Ag3 0.006 0.329 0.669
Ag4 0.994 0.671 0.331
Ag5 0.252 0.831 0.667
Ag6 0.500 0.000 0.000
Ag7 0.748 0.169 0.333
Au1 0.000 0.000 0.000

=====

5.
A relaxed Cd8Ag2Au3 crystal. Source: Alexandria via LeMat-Bulk, functional PBE-GGA.

## Properties
- crystal system = orthorhombic
- formation energy (eV per atom) = -0.0784
- symmetry = Cmmm
- E above lowest polymorph (eV per atom) = 0.0000

Lattice parameters (Å, degrees): 4.705 8.093 8.094 71.38 90.00 90.00
Atoms (fractional coordinates):
Cd1 0.000 0.373 0.373
Cd2 0.000 0.627 0.627
Cd3 0.000 0.870 0.870
Cd4 0.000 0.130 0.130
Cd5 0.500 0.386 0.870
Cd6 0.500 0.870 0.386
Cd7 0.500 0.130 0.614
Cd8 0.500 0.614 0.130
Ag1 0.500 0.752 0.752
Ag2 0.500 0.248 0.248
Au1 0.500 0.000 0.000
Au2 0.000 0.746 0.254
Au3 0.000 0.254 0.746

=====

6.
A relaxed Cd8Ag2Au crystal. Source: Alexandria via LeMat-Bulk, functional PBE-GGA.

## Properties
- crystal system = monoclinic
- formation energy (eV per atom) = -0.0413
- symmetry = C2/m
- E above lowest polymorph (eV per atom) = 0.0041

Lattice parameters (Å, degrees): 4.356 6.634 8.462 104.97 104.91 90.00
Atoms (fractional coordinates):
Cd1 0.404 0.550 0.808
Cd2 0.682 0.908 0.363
Cd3 0.860 0.815 0.720
Cd4 0.956 0.268 0.913
Cd5 0.140 0.185 0.280
Cd6 0.318 0.092 0.637
Cd7 0.596 0.450 0.192
Cd8 0.044 0.732 0.087
Ag1 0.774 0.364 0.547
Ag2 0.226 0.636 0.453
Au1 0.500 0.000 0.000

=====

7.
A relaxed CdAg4Au crystal. Source: Alexandria via LeMat-Bulk, functional PBE-GGA.

## Properties
- crystal system = monoclinic
- formation energy (eV per atom) = 0.0173
- symmetry = C2/m
- E above lowest polymorph (eV per atom) = 0.0000

Lattice parameters (Å, degrees): 4.724 4.724 5.747 87.70 87.70 118.60
Atoms (fractional coordinates):
Cd1 0.000 0.500 0.500
Ag1 0.322 0.160 0.753
Ag2 0.660 0.822 0.753
Ag3 0.340 0.178 0.247
Ag4 0.678 0.840 0.247
Au1 0.000 0.500 0.000

=====

8.
A relaxed CdAg2Au8 crystal. Source: Alexandria via LeMat-Bulk, functional PBE-GGA.

## Properties
- crystal system = monoclinic
- formation energy (eV per atom) = 0.1577
- symmetry = C2/m
- E above lowest polymorph (eV per atom) = 0.2224

Lattice parameters (Å, degrees): 4.967 7.042 7.042 84.31 77.21 77.21
Atoms (fractional coordinates):
Cd1 0.000 0.000 0.000
Ag1 0.449 0.147 0.147
Ag2 0.551 0.853 0.853
Au1 0.797 0.164 0.670
Au2 0.203 0.330 0.836
Au3 0.878 0.278 0.278
Au4 0.122 0.722 0.722
Au5 0.797 0.670 0.164
Au6 0.203 0.836 0.330
Au7 0.293 0.427 0.427
Au8 0.707 0.573 0.573